Entry 1:
## HoTm7Th2 (PBE)

Data for a relaxed HoTm7Th2 crystal.

```
HoTm7Th2
1.0
-2.418 -2.227 -1.293
10.314 1.380 -7.178
-0.856 -5.981 7.052
Th Tm Ho
2 7 1
Direct
0.700 0.900 0.299 Th
0.300 0.100 0.701 Th
0.902 0.302 0.102 Tm
0.098 0.698 0.898 Tm
0.196 0.396 0.798 Tm
0.500 0.500 0.500 Tm
0.594 0.197 0.402 Tm
0.804 0.604 0.202 Tm
0.406 0.803 0.598 Tm
0.000 0.000 0.000 Ho
```

space-group type	P-1, No. 2
formation energy	0.025	eV/atom
crystal system	triclinic


Entry 2:
## PrYSO2 (PBE)

Data for a relaxed PrYSO2 crystal.

```
PrYSO2
1.0
4.096 0.000 0.000
0.000 6.508 -0.489
0.000 -1.986 7.439
S Pr O Y
2 2 4 2
Direct
0.750 0.957 0.245 S
0.250 0.043 0.755 S
0.250 0.697 0.932 Pr
0.750 0.303 0.068 Pr
0.250 0.484 0.129 O
0.750 0.516 0.871 O
0.250 0.479 0.611 O
0.750 0.521 0.389 O
0.250 0.680 0.426 Y
0.750 0.320 0.574 Y
```

space-group type	P2_1/m, No. 11
crystal system	monoclinic
ΔE_f (raw)	-3035	meV/atom


Entry 3:
## ThZn4Pt8 (PBE)

Data for a relaxed ThZn4Pt8 crystal.

```
ThZn4Pt8
1.0
5.397 0.000 0.000
2.698 6.276 0.000
2.698 0.000 6.276
Pt Zn Th
8 4 1
Direct
0.725 0.775 0.775 Pt
0.662 0.338 0.338 Pt
0.500 0.775 0.225 Pt
0.338 0.662 0.662 Pt
0.275 0.225 0.225 Pt
0.500 0.225 0.775 Pt
0.000 0.338 0.662 Pt
0.000 0.662 0.338 Pt
0.500 0.000 0.500 Zn
0.000 0.500 0.000 Zn
0.500 0.500 0.000 Zn
0.000 0.000 0.500 Zn
0.000 0.000 0.000 Th
```

space-group type	I4/mmm, No. 139
formation energy	-0.624	eV/atom
crystal system	tetragonal


Entry 4:
## MgZr2Tl2 (PBE)

Data for a relaxed MgZr2Tl2 crystal.

```
MgZr2Tl2
1.0
7.515 0.000 0.000
0.000 7.515 0.000
0.000 0.000 4.161
Mg Tl Zr
2 4 4
Direct
0.000 0.000 0.000 Mg
0.500 0.500 0.000 Mg
0.364 0.864 0.000 Tl
0.636 0.136 0.000 Tl
0.864 0.636 0.000 Tl
0.136 0.364 0.000 Tl
0.671 0.829 0.500 Zr
0.171 0.671 0.500 Zr
0.829 0.329 0.500 Zr
0.329 0.171 0.500 Zr
```

space-group type	P4/mbm, No. 127
formation energy	0.023	eV/atom
crystal system	tetragonal
energy relative to the lowest polymorph listed for this composition	0.00	kcal/mol of atoms


Entry 5:
## TlCd4In15 (PBE)

Data for a relaxed TlCd4In15 crystal.

```
TlCd4In15
1.0
-2.547 -1.650 3.614
3.432 -3.077 1.014
10.069 15.968 14.384
In Cd Tl
15 4 1
Direct
0.500 0.000 0.107 In
0.500 0.000 0.500 In
0.000 0.500 0.893 In
0.000 0.500 0.107 In
0.500 0.500 0.000 In
0.500 0.500 0.403 In
0.500 0.000 0.304 In
0.500 0.000 0.696 In
0.000 0.500 0.696 In
0.500 0.500 0.597 In
0.000 0.500 0.304 In
0.500 0.500 0.206 In
0.500 0.000 0.893 In
0.000 0.500 0.500 In
0.500 0.500 0.794 In
0.000 0.000 0.598 Cd
0.000 0.000 0.795 Cd
0.000 0.000 0.205 Cd
0.000 0.000 0.402 Cd
0.000 0.000 0.000 Tl
```

space-group type	P4/mmm, No. 123
formation energy	0.015	eV/atom
crystal system	tetragonal


Entry 6:
## Ti4AuC2 (PBE)

Data for a relaxed Ti4AuC2 crystal.

```
Ti4AuC2
1.0
-0.875 2.448 1.768
2.541 -3.584 3.425
9.878 5.026 -2.068
Au Ti C
2 8 4
Direct
0.609 0.217 0.750 Au
0.391 0.783 0.250 Au
0.758 0.516 0.398 Ti
0.912 0.824 0.750 Ti
0.500 0.000 0.500 Ti
0.242 0.484 0.602 Ti
0.500 0.000 0.000 Ti
0.088 0.176 0.250 Ti
0.758 0.516 0.102 Ti
0.242 0.484 0.898 Ti
0.866 0.732 0.558 C
0.866 0.732 0.942 C
0.134 0.268 0.442 C
0.134 0.268 0.058 C
```

space-group type	Cmcm, No. 63
formation energy	-0.630	eV/atom
crystal system	orthorhombic


Results for E: -5.05 -8.09 -5.30 -4.66 -2.34 -8.25 (in eV per atom, following the order of the records).